The following is a PBE-GGA calculation of an optimized crystal structure of Ac2ScHg4, from Alexandria via LeMat-Bulk.

Calculated values
E_form in kJ/mol of atoms: -37

```
data_Ac2ScHg4
_chemical_formula_sum 'Ac2 Sc1 Hg4'
_cell_length_a 5.0139
_cell_length_b 6.4008
_cell_length_c 7.3802
_cell_angle_alpha 108.74
_cell_angle_beta 90.08
_cell_angle_gamma 113.01
_space_group_name_H-M_alt 'P -1'
_space_group_IT_number 2
_space_group_name_Hall '-P 1'
loop_
_atom_site_label
_atom_site_fract_x
_atom_site_fract_y
_atom_site_fract_z
_atom_site_occupancy
Ac1 0.1571 0.3152 0.2441 1
Sc1 0.5000 0.0000 0.5000 1
Hg1 0.1341 0.2681 0.6941 1
Hg2 0.4004 0.7996 0.0804 1
```